#one
Entry from Alexandria: Tb2PtS after structural relaxation (PBE).

Computed properties:
* magnetic moment: 0.0 μB per formula unit
* ρ: 9.4 Mg/m³
* Fermi-level density of states: 4.7 states/eV/cell

Cell: 3.9581 3.9581 21.2569 Å, 90.00 90.00 120.00°
Space group R3m (No. 160, hexagonal axes)
Symmetry-distinct sites (fractional):
1 Tb 0.0000 0.0000 0.0000 (multiplicity 3)
2 Tb 0.0000 0.0000 0.1776 (multiplicity 3)
3 Pt 0.0000 0.0000 0.5887 (multiplicity 3)
4 S 0.0000 0.0000 0.7569 (multiplicity 3)


#two
Entry from Alexandria: Tb2PtS after structural relaxation (PBE).

Computed properties:
* magnetic moment: 0.0 μB per formula unit
* ρ: 9.6 Mg/m³
* Fermi-level density of states: 8.1 states/eV/cell

Cell: 3.9379 3.9379 20.9756 Å, 90.00 90.00 120.00°
Space group R-3m (No. 166, hexagonal axes)
Symmetry-distinct sites (fractional):
1 Tb 0.0000 0.0000 0.2483 (multiplicity 6)
2 Pt 0.0000 0.0000 0.5000 (multiplicity 3)
3 S 0.0000 0.0000 0.0000 (multiplicity 3)


If you had to bet on the most stable structure above, which would it be? Bet on #two.